Material: Tb3Ge5Au6
Method: DFT, PBE
State: relaxed

Cell: 4.302 12.884 10.206 Å, 90.00 90.00 90.00°
Space group Pmmn (No. 59, origin choice 2)
One atom of each set of equivalent atoms:
1 Tb 0.250 0.073 0.245
2 Tb 0.250 0.750 0.246
3 Ge 0.250 0.091 0.862
4 Ge 0.250 0.619 0.530
5 Ge 0.250 0.750 0.790
6 Au 0.250 0.075 0.617
7 Au 0.250 0.250 0.028
8 Au 0.250 0.250 0.447
9 Au 0.250 0.591 0.987

M_tot   0.000 μB/f.u.
ΔE_f   -7.6 eV/f.u.